A plane-wave DFT calculation with GGA-PBE was carried out for a relaxed VCuPb3 crystal.

Cell: 5.304 5.304 5.304 Å, 90.00 90.00 90.00°
Space group Pm-3m (No. 221)
Symmetry-distinct sites (fractional):
V (0.000, 0.000, 0.000) [1 per cell]
Cu (0.500, 0.500, 0.500) [1 per cell]
Pb (0.000, 0.000, 0.500) [3 per cell]

Computed properties:
total energy: -4.193 eV per atom
crystal system: cubic

A plane-wave DFT calculation with GGA-PBE was carried out for a relaxed NaLaMn crystal.

Cell: 4.936 4.935 7.544 Å, 90.00 109.06 90.00°
Space group Cm (No. 8)
Symmetry-distinct sites (fractional):
Na (0.000, 0.000, 0.000) [2 per cell]
La (0.281, 0.000, 0.560) [2 per cell]
Mn (0.149, 0.500, 0.295) [2 per cell]

Computed properties:
energy above the most stable polymorph in this dataset: 0.97 eV/f.u.
crystal system: monoclinic

A plane-wave DFT calculation with GGA-PBE was carried out for a relaxed Er2InAg crystal.

Cell: 5.204 5.204 3.682 Å, 90.00 90.00 90.00°
Space group P4/mmm (No. 123)
Symmetry-distinct sites (fractional):
Er (0.000, 0.500, 0.000) [2 per cell]
In (0.000, 0.000, 0.500) [1 per cell]
Ag (0.500, 0.500, 0.500) [1 per cell]

Computed properties:
energy above the most stable polymorph in this dataset: 0.08 eV/f.u.
crystal system: tetragonal

A plane-wave DFT calculation with GGA-PBE was carried out for a relaxed Sm4TlTe2P crystal.

Cell: 7.632 4.277 7.653 Å, 90.00 108.41 90.00°
Space group P2/m (No. 10)
Symmetry-distinct sites (fractional):
Sm (0.227, 0.000, 0.221) [2 per cell]
Sm (0.241, 0.500, 0.762) [2 per cell]
Tl (0.500, 0.000, 0.000) [1 per cell]
Te (0.000, 0.000, 0.500) [1 per cell]
Te (0.500, 0.500, 0.500) [1 per cell]
P (0.000, 0.500, 0.000) [1 per cell]

Computed properties:
formation energy from raw total energies: -1.18 eV per atom
crystal system: monoclinic

A plane-wave DFT calculation with GGA-PBE was carried out for a relaxed Sm4NiPI2 crystal.

Cell: 7.431 4.051 8.002 Å, 90.00 106.46 90.00°
Space group P2/m (No. 10)
Symmetry-distinct sites (fractional):
Sm (0.212, 0.000, 0.183) [2 per cell]
Sm (0.269, 0.500, 0.809) [2 per cell]
Ni (0.000, 0.500, 0.000) [1 per cell]
P (0.500, 0.000, 0.000) [1 per cell]
I (0.000, 0.000, 0.500) [1 per cell]
I (0.500, 0.500, 0.500) [1 per cell]

Computed properties:
formation energy from raw total energies: -0.97 eV per atom
crystal system: monoclinic

A plane-wave DFT calculation with GGA-PBE was carried out for a relaxed TaGe3Bi crystal.

Cell: 5.285 5.285 5.285 Å, 90.00 90.00 90.00°
Space group Pm-3m (No. 221)
Symmetry-distinct sites (fractional):
Ta (0.000, 0.000, 0.000) [1 per cell]
Ge (0.000, 0.500, 0.500) [3 per cell]
Bi (0.500, 0.500, 0.500) [1 per cell]

Computed properties:
energy above the most stable polymorph in this dataset: 7.13 eV/f.u.
crystal system: cubic

A plane-wave DFT calculation with GGA-PBE was carried out for a relaxed Zr4CrSi crystal.

Cell: 7.988 7.988 7.988 Å, 90.00 90.00 90.00°
Space group F-43m (No. 216)
Symmetry-distinct sites (fractional):
Zr (0.124, 0.124, 0.124) [16 per cell]
Cr (0.250, 0.250, 0.750) [4 per cell]
Si (0.000, 0.000, 0.500) [4 per cell]

Computed properties:
formation energy from raw total energies: 0.58 eV per atom
crystal system: cubic

A plane-wave DFT calculation with GGA-PBE was carried out for a relaxed TeAu2 crystal.

Cell: 4.129 11.777 5.706 Å, 90.00 90.00 90.00°
Space group Cmcm (No. 63)
Symmetry-distinct sites (fractional):
Te (0.000, 0.168, 0.250) [4 per cell]
Au (0.000, 0.156, 0.750) [4 per cell]
Au (0.000, 0.495, 0.750) [4 per cell]

Computed properties:
formation energy from raw total energies: 0.05 eV per atom
crystal system: orthorhombic

| no. | total magnetic moment (μB per atom) |
| --- | --- |
| 1 | 0.34 |
| 2 | 1.04 |
| 3 | 0.00 |
| 4 | 0.00 |
| 5 | 0.00 |
| 6 | 0.00 |
| 7 | 0.65 |
| 8 | 0.00 |